(1)
Entry from the Alexandria database: a geometry-optimized ZnCdBi2H structure (PBE).

Computed properties:
VASP energy = -0.091 hartree per atom

a b c (Å): 5.8084 5.8084 3.3488
angles (deg): 90.00 90.00 90.00
Space group P4/mmm (No. 123)
Inequivalent atoms, fractional coordinates:
1 Zn 0.0000 0.0000 0.0000 x1
2 Cd 0.5000 0.5000 0.5000 x1
3 Bi 0.0000 0.5000 0.0000 x2
4 H 0.0000 0.0000 0.5000 x1

(2)
Entry from the Alexandria database: a geometry-optimized K2Pu3CdO12 structure (PBE).

Computed properties:
Raw formation energy = -2.176 eV/atom
VASP energy = -0.296 hartree per atom

a b c (Å): 7.9710 7.9710 17.9511
angles (deg): 90.00 90.00 120.00
Space group R-3m (No. 166, hexagonal axes)
Inequivalent atoms, fractional coordinates:
1 K 0.0000 0.0000 0.1344 x6
2 Pu 0.0000 0.5000 0.0000 x9
3 Cd 0.0000 0.0000 0.5000 x3
4 O 0.0412 0.5206 0.1041 x18
5 O 0.0789 0.5395 0.3472 x18